(1)
TbSmGa2 | GGA-PBE | relaxed

abc: 3.6209 3.6209 7.2245
angles: 90.00 90.00 90.00
Sites, in units of the cell vectors:
Tb 0.0000 0.0000 0.0000
Sm 0.0000 0.0000 0.5000
Ga 0.5000 0.5000 0.2427
Ga 0.5000 0.5000 0.7573

total moment = 0.00 μB/f.u.
electronic total energy = -17.73 eV per formula unit
E_form = -583 meV/atom


(2)
Tb2SmGa | GGA-PBE | relaxed

abc: 3.5423 3.5423 8.9717
angles: 90.00 90.00 90.00
Sites, in units of the cell vectors:
Tb 0.0000 0.0000 0.2074
Tb 0.0000 0.0000 0.7926
Sm 0.5000 0.5000 0.5000
Ga 0.5000 0.5000 0.0000

total moment = 0.00 μB/f.u.
electronic total energy = -18.12 eV per formula unit
excess energy over the best structure of this formula in the dataset = 0.0000 eV/atom
E_form = -278 meV/atom


(3)
TbSmGa2 | GGA-PBE | relaxed

abc: 4.4125 4.0955 5.9558
angles: 90.00 111.71 90.00
Sites, in units of the cell vectors:
Tb 0.0000 0.0000 0.0000
Sm 0.2775 0.5000 0.5579
Ga 0.5628 0.5000 0.1251
Ga 0.7105 0.0000 0.4245

total moment = 0.00 μB/f.u.
electronic total energy = -17.86 eV per formula unit
E_form = -615 meV/atom


(4)
TbSm2Ga6 | GGA-PBE | relaxed

abc: 7.3415 7.3415 4.2037
angles: 90.00 90.00 120.00
Sites, in units of the cell vectors:
Tb 0.0000 0.0000 0.0000
Sm 0.3333 0.6667 0.0000
Sm 0.6667 0.3333 0.0000
Ga 0.0000 0.3326 0.5000
Ga 0.0000 0.6674 0.5000
Ga 0.3326 0.0000 0.5000
Ga 0.3326 0.3326 0.5000
Ga 0.6674 0.0000 0.5000
Ga 0.6674 0.6674 0.5000

total moment = 0.00 μB/f.u.
electronic total energy = -38.24 eV per formula unit
excess energy over the best structure of this formula in the dataset = 0.0000 eV/atom
E_form = -668 meV/atom


(5)
TbSmGa | GGA-PBE | relaxed

abc: 7.0869 7.0869 7.0869
angles: 151.31 151.31 41.03
Sites, in units of the cell vectors:
Tb 0.0000 0.0000 0.0000
Sm 0.2891 0.2891 0.0000
Ga 0.6407 0.6407 0.0000

total moment = 0.00 μB/f.u.
electronic total energy = -13.44 eV per formula unit
excess energy over the best structure of this formula in the dataset = 0.0472 eV/atom
E_form = -355 meV/atom


(6)
TbSm2Ga | GGA-PBE | relaxed

abc: 3.6694 9.8774 6.6806
angles: 90.00 105.92 90.00
Sites, in units of the cell vectors:
Tb 0.0556 0.2500 0.1102
Tb 0.9444 0.7500 0.8898
Sm 0.3640 0.0462 0.7279
Sm 0.3640 0.4538 0.7279
Sm 0.6360 0.5462 0.2721
Sm 0.6360 0.9538 0.2721
Ga 0.2550 0.7500 0.5117
Ga 0.7450 0.2500 0.4883

total moment = 0.00 μB/f.u.
electronic total energy = -18.14 eV per formula unit
excess energy over the best structure of this formula in the dataset = 0.0000 eV/atom
E_form = -262 meV/atom


(7)
Tb2SmGa | GGA-PBE | relaxed

abc: 10.4926 10.4926 10.4926
angles: 19.95 19.95 19.95
Sites, in units of the cell vectors:
Tb 0.0000 0.0000 0.0000
Tb 0.1927 0.1927 0.1927
Sm 0.4300 0.4300 0.4300
Ga 0.5960 0.5960 0.5960

total moment = 0.00 μB/f.u.
electronic total energy = -17.77 eV per formula unit
excess energy over the best structure of this formula in the dataset = 0.0878 eV/atom
E_form = -190 meV/atom


(8)
TbSm2Ga4 | GGA-PBE | relaxed

abc: 9.7564 9.7564 9.7564
angles: 155.28 154.49 35.82
Sites, in units of the cell vectors:
Tb 0.0000 0.0000 0.0000
Sm 0.1844 0.6844 0.5000
Sm 0.8156 0.3156 0.5000
Ga 0.3572 0.8572 0.5000
Ga 0.4344 0.4344 0.0000
Ga 0.5656 0.5656 0.0000
Ga 0.6428 0.1428 0.5000

total moment = 0.45 μB/f.u.
electronic total energy = -30.56 eV per formula unit
E_form = -626 meV/atom


(9)
Tb8SmGa6 | GGA-PBE | relaxed

abc: 7.9627 7.9627 7.9627
angles: 66.16 66.16 66.16
Sites, in units of the cell vectors:
Tb 0.0543 0.3878 0.7215
Tb 0.1670 0.1670 0.1670
Tb 0.2785 0.9457 0.6122
Tb 0.3878 0.7215 0.0543
Tb 0.6122 0.2785 0.9457
Tb 0.7215 0.0543 0.3878
Tb 0.8330 0.8330 0.8330
Tb 0.9457 0.6122 0.2785
Sm 0.5000 0.5000 0.5000
Ga 0.1056 0.7775 0.4412
Ga 0.2225 0.5588 0.8944
Ga 0.4412 0.1056 0.7775
Ga 0.5588 0.8944 0.2225
Ga 0.7775 0.4412 0.1056
Ga 0.8944 0.2225 0.5588

total moment = 0.00 μB/f.u.
electronic total energy = -65.36 eV per formula unit
E_form = -362 meV/atom


(10)
TbSm2Ga | GGA-PBE | relaxed

abc: 4.7752 4.7752 4.8097
angles: 90.00 90.00 90.00
Sites, in units of the cell vectors:
Tb 0.0000 0.0000 0.0000
Sm 0.0000 0.5000 0.5000
Sm 0.5000 0.0000 0.5000
Ga 0.5000 0.5000 0.0000

total moment = 0.02 μB/f.u.
electronic total energy = -18.03 eV per formula unit
excess energy over the best structure of this formula in the dataset = 0.0282 eV/atom
E_form = -234 meV/atom


(11)
Tb6Sm2Ga | GGA-PBE | relaxed

abc: 9.8145 9.8145 3.5360
angles: 90.18 90.18 56.79
Sites, in units of the cell vectors:
Tb 0.1672 0.5084 0.5012
Tb 0.2230 0.7770 0.0000
Tb 0.4916 0.8328 0.4988
Tb 0.5084 0.1672 0.5012
Tb 0.7770 0.2230 0.0000
Tb 0.8328 0.4916 0.4988
Sm 0.1754 0.1754 0.9972
Sm 0.8246 0.8246 0.0028
Ga 0.5000 0.5000 0.5000

total moment = 0.00 μB/f.u.
electronic total energy = -40.01 eV per formula unit
E_form = 26 meV/atom


(12)
Tb2SmGa3 | GGA-PBE | relaxed

abc: 5.0957 5.0957 12.5298
angles: 90.00 90.00 120.00
Sites, in units of the cell vectors:
Tb 0.0000 0.0000 0.0000
Tb 0.0000 0.0000 0.5000
Tb 0.3333 0.6667 0.1650
Tb 0.6667 0.3333 0.8350
Sm 0.3333 0.6667 0.6667
Sm 0.6667 0.3333 0.3333
Ga 0.0000 0.0000 0.2480
Ga 0.0000 0.0000 0.7520
Ga 0.3333 0.6667 0.4158
Ga 0.3333 0.6667 0.9179
Ga 0.6667 0.3333 0.0821
Ga 0.6667 0.3333 0.5842

total moment = 0.00 μB/f.u.
electronic total energy = -26.54 eV per formula unit
excess energy over the best structure of this formula in the dataset = 0.0000 eV/atom
E_form = -581 meV/atom